A relaxed structure of InAgAs3, computed with PBE-GGA.

The energy of formation from the pure elements comes out at 370 kJ/mol of formula units.

abc: 5.0702 5.0702 5.0702
angles: 90.00 90.00 90.00
Last column: nearest neighbours and their distance in Å.
Sites, in units of the cell vectors:
As1 0.0000 0.5000 0.0000  2 Ag 2.54
As2 0.0000 0.0000 0.5000  2 Ag 2.54
As3 0.5000 0.0000 0.0000  2 Ag 2.54
Ag1 0.0000 0.0000 0.0000  6 As 2.54
In1 0.5000 0.5000 0.5000  12 As 3.59